Ba3Li2PuO8 after structural relaxation, computed with PBE.

Cell: 5.8805 5.8805 7.6929 Å, 90.00 90.00 120.00°
Closest atoms and distances in Å follow each position.
Sites, in units of the cell vectors:
Ba 0.3333 0.6667 0.6679  1 O 2.46
Ba 0.6667 0.3333 0.3321  1 O 2.46
Ba 0.0000 0.0000 0.0000  12 O 3.11-3.40
Li 0.3333 0.6667 0.2272  4 O 1.84-1.99
Li 0.6667 0.3333 0.7728  4 O 1.84-1.99
Pu 0.0000 0.0000 0.5000  6 O 2.01
O 0.3333 0.6667 0.9881  1 Li 1.84
O 0.6667 0.3333 0.0119  1 Li 1.84
O 0.1590 0.8410 0.3447  1 Li 1.99, 1 Pu 2.01
O 0.8410 0.1590 0.6553  1 Li 1.99, 1 Pu 2.01
O 0.1590 0.3181 0.3447  1 Li 1.99, 1 Pu 2.01
O 0.8410 0.6819 0.6553  1 Li 1.99, 1 Pu 2.01
O 0.6819 0.8410 0.3447  1 Li 1.99, 1 Pu 2.01
O 0.3181 0.1590 0.6553  1 Li 1.99, 1 Pu 2.01

## Properties
SG   No. 164

=====

Ba2Li3PuO6 after structural relaxation, computed with PBE.

Cell: 3.8097 3.8097 11.9700 Å, 90.00 90.00 90.00°
Closest atoms and distances in Å follow each position.
Sites, in units of the cell vectors:
Ba 0.5000 0.5000 0.2043  8 O 2.77-2.94
Ba 0.5000 0.5000 0.7957  8 O 2.77-2.94
Li 0.0000 0.0000 0.3546  4 O 1.96
Li 0.0000 0.0000 0.6454  4 O 1.96
Li 0.0000 0.0000 0.0000  2 O 1.80
Pu 0.5000 0.5000 0.5000  8 O 2.30
O 0.0000 0.5000 0.6081  2 Li 1.96
O 0.5000 0.0000 0.3919  2 Li 1.96
O 0.5000 0.0000 0.6081  2 Li 1.96
O 0.0000 0.0000 0.1504  1 Li 1.80
O 0.0000 0.5000 0.3919  2 Li 1.96
O 0.0000 0.0000 0.8496  1 Li 1.80

## Properties
SG   No. 123

=====

Ba2LiPu3O12 after structural relaxation, computed with PBE.

Cell: 7.2520 7.2520 7.2520 Å, 66.37 66.37 66.37°
Closest atoms and distances in Å follow each position.
Sites, in units of the cell vectors:
Ba 0.6607 0.6607 0.6607  6 O 2.80-3.06
Ba 0.3393 0.3393 0.3393  6 O 2.80-3.06
Li 0.0000 0.0000 0.0000  6 O 2.04
Pu 0.5000 0.0000 0.0000  2 O 1.84
Pu 0.0000 0.5000 0.0000  2 O 1.84
Pu 0.0000 0.0000 0.5000  2 O 1.84
O 0.3338 0.3338 0.9573  2 Pu 2.18
O 0.9353 0.9353 0.3163  1 Pu 1.84, 1 Li 2.04
O 0.3163 0.9353 0.9353  1 Pu 1.84, 1 Li 2.04
O 0.9573 0.3338 0.3338  2 Pu 2.18
O 0.9353 0.3163 0.9353  1 Pu 1.84, 1 Li 2.04
O 0.3338 0.9573 0.3338  2 Pu 2.18
O 0.6662 0.6662 0.0427  2 Pu 2.18
O 0.0647 0.0647 0.6837  1 Pu 1.84, 1 Li 2.04
O 0.6837 0.0647 0.0647  1 Pu 1.84, 1 Li 2.04
O 0.0427 0.6662 0.6662  2 Pu 2.18
O 0.0647 0.6837 0.0647  1 Pu 1.84, 1 Li 2.04
O 0.6662 0.0427 0.6662  2 Pu 2.18

## Properties
SG   No. 166

=====

Number 1: density of states at the Fermi level 0.24 states/eV/atom, uncorrected formation energy -32.29 eV per formula unit, DFT total energy -6.849 eV/atom. Number 2: density of states at the Fermi level 0.42 states/eV/atom, uncorrected formation energy -27.67 eV per formula unit, DFT total energy -6.779 eV/atom. Number 3: density of states at the Fermi level 0.52 states/eV/atom, uncorrected formation energy -45.47 eV per formula unit, DFT total energy -8.540 eV/atom.